# NaLi3Mn | Alexandria via LeMat-Bulk | SCAN | single point on PBEsol structure
# Energy of formation from the pure elements, kJ/mol of atoms: 40.1
# SG: No. 221
# DOS(E_F), states/eV per cell: 2.372
data_NaLi3Mn
_chemical_formula_sum 'Na1 Li3 Mn1'
_space_group_name_H-M_alt 'P 1'
_space_group_IT_number 1
_cell_length_a 5.077
_cell_length_b 5.077
_cell_length_c 5.077
_cell_angle_alpha 90.00
_cell_angle_beta 90.00
_cell_angle_gamma 90.00
loop_
_space_group_symop_operation_xyz
'x,y,z'
loop_
_atom_site_label
_atom_site_fract_x
_atom_site_fract_y
_atom_site_fract_z
_atom_site_occupancy
Na1 0.500 0.500 0.500 1
Li1 0.000 0.500 0.000 1
Li2 0.500 0.000 0.000 1
Li3 0.000 0.000 0.500 1
Mn1 0.000 0.000 0.000 1



# LiMn2Fe | Alexandria via LeMat-Bulk | SCAN | single point on PBEsol structure
# Energy of formation from the pure elements, kJ/mol of atoms: 20.9
# SG: No. 44
# Relative energy among the computed polymorphs, meV per atom: 0.0
# DOS(E_F), states/eV per cell: 2.444
data_LiMn2Fe
_chemical_formula_sum 'Li1 Mn2 Fe1'
_space_group_name_H-M_alt 'P 1'
_space_group_IT_number 1
_cell_length_a 2.692
_cell_length_b 4.001
_cell_length_c 4.607
_cell_angle_alpha 115.74
_cell_angle_beta 106.99
_cell_angle_gamma 90.00
loop_
_space_group_symop_operation_xyz
'x,y,z'
loop_
_atom_site_label
_atom_site_fract_x
_atom_site_fract_y
_atom_site_fract_z
_atom_site_occupancy
Mn1 0.011 0.011 0.022 1
Mn2 0.750 0.250 0.499 1
Fe1 0.491 0.491 0.982 1
Li1 0.248 0.748 0.497 1



# OsC2 | Alexandria via LeMat-Bulk | SCAN | single point on PBEsol structure
# Energy of formation from the pure elements, kJ/mol of atoms: 92.4
# SG: No. 12
# Relative energy among the computed polymorphs, meV per atom: 0.0
# DOS(E_F), states/eV per cell: 1.548
data_OsC2
_chemical_formula_sum 'Os2 C4'
_space_group_name_H-M_alt 'P 1'
_space_group_IT_number 1
_cell_length_a 2.777
_cell_length_b 3.726
_cell_length_c 5.675
_cell_angle_alpha 94.38
_cell_angle_beta 90.00
_cell_angle_gamma 111.88
loop_
_space_group_symop_operation_xyz
'x,y,z'
loop_
_atom_site_label
_atom_site_fract_x
_atom_site_fract_y
_atom_site_fract_z
_atom_site_occupancy
C1 0.441 0.883 0.885 1
C2 0.895 0.790 0.479 1
C3 0.105 0.210 0.521 1
C4 0.559 0.117 0.115 1
Os1 0.727 0.453 0.772 1
Os2 0.273 0.547 0.228 1



# LiZnCu2 | Alexandria via LeMat-Bulk | SCAN | single point on PBEsol structure
# Energy of formation from the pure elements, kJ/mol of atoms: -5.7
# SG: No. 99
# DOS(E_F), states/eV per cell: 1.025
data_LiZnCu2
_chemical_formula_sum 'Li1 Zn1 Cu2'
_space_group_name_H-M_alt 'P 1'
_space_group_IT_number 1
_cell_length_a 2.598
_cell_length_b 2.598
_cell_length_c 7.402
_cell_angle_alpha 90.00
_cell_angle_beta 90.00
_cell_angle_gamma 90.08
loop_
_space_group_symop_operation_xyz
'x,y,z'
loop_
_atom_site_label
_atom_site_fract_x
_atom_site_fract_y
_atom_site_fract_z
_atom_site_occupancy
Cu1 0.500 0.500 0.763 1
Cu2 0.000 0.000 0.991 1
Li1 0.000 0.000 0.509 1
Zn1 0.500 0.500 0.236 1



# SnP2O7 | Alexandria via LeMat-Bulk | SCAN | single point on PBEsol structure
# SG: No. 14
# Relative energy among the computed polymorphs, meV per atom: 2.2
# DOS(E_F), states/eV per cell: 0.000
data_SnP2O7
_chemical_formula_sum 'Sn4 P8 O28'
_space_group_name_H-M_alt 'P 1'
_space_group_IT_number 1
_cell_length_a 5.075
_cell_length_b 8.720
_cell_length_c 12.827
_cell_angle_alpha 103.67
_cell_angle_beta 90.00
_cell_angle_gamma 90.00
loop_
_space_group_symop_operation_xyz
'x,y,z'
loop_
_atom_site_label
_atom_site_fract_x
_atom_site_fract_y
_atom_site_fract_z
_atom_site_occupancy
Sn1 0.746 0.258 0.021 1
Sn2 0.754 0.758 0.521 1
Sn3 0.246 0.242 0.479 1
Sn4 0.254 0.742 0.979 1
O1 0.953 0.585 0.413 1
O2 0.658 0.402 0.923 1
O3 0.664 0.605 0.614 1
O4 0.731 0.432 0.741 1
O5 0.086 0.194 0.938 1
O6 0.929 0.167 0.382 1
O7 0.842 0.902 0.423 1
O8 0.071 0.833 0.618 1
O9 0.414 0.694 0.438 1
O10 0.043 0.568 0.881 1
O11 0.336 0.395 0.386 1
O12 0.453 0.915 0.087 1
O13 0.571 0.667 0.882 1
O14 0.342 0.598 0.077 1
O15 0.957 0.432 0.119 1
O16 0.836 0.105 0.114 1
O17 0.914 0.806 0.062 1
O18 0.231 0.068 0.759 1
O19 0.164 0.895 0.886 1
O20 0.047 0.415 0.587 1
O21 0.769 0.932 0.241 1
O22 0.269 0.568 0.259 1
O23 0.457 0.068 0.381 1
O24 0.429 0.333 0.118 1
O25 0.158 0.098 0.577 1
O26 0.543 0.932 0.619 1
O27 0.547 0.085 0.913 1
O28 0.586 0.306 0.562 1
P1 0.253 0.976 0.636 1
P2 0.258 0.059 0.880 1
P3 0.758 0.441 0.620 1
P4 0.753 0.524 0.864 1
P5 0.247 0.476 0.136 1
P6 0.742 0.941 0.120 1
P7 0.242 0.559 0.380 1
P8 0.747 0.024 0.364 1



# Sc2S3 | Alexandria via LeMat-Bulk | SCAN | single point on PBEsol structure
# E_tot, eV per atom: -13.658
# SG: No. 12
data_Sc2S3
_chemical_formula_sum 'Sc4 S6'
_space_group_name_H-M_alt 'P 1'
_space_group_IT_number 1
_cell_length_a 6.283
_cell_length_b 6.307
_cell_length_c 6.307
_cell_angle_alpha 119.96
_cell_angle_beta 99.62
_cell_angle_gamma 99.62
loop_
_space_group_symop_operation_xyz
'x,y,z'
loop_
_atom_site_label
_atom_site_fract_x
_atom_site_fract_y
_atom_site_fract_z
_atom_site_occupancy
S1 0.253 0.258 0.258 1
S2 0.745 0.415 0.087 1
S3 0.745 0.087 0.415 1
S4 0.255 0.585 0.913 1
S5 0.255 0.913 0.585 1
S6 0.747 0.742 0.742 1
Sc1 0.500 0.667 0.333 1
Sc2 0.500 0.333 0.667 1
Sc3 0.000 0.500 0.500 1
Sc4 0.500 0.000 0.000 1



# OsRuRh | Alexandria via LeMat-Bulk | SCAN | single point on PBEsol structure
# Energy of formation from the pure elements, kJ/mol of atoms: 6.6
# SG: No. 44
# Relative energy among the computed polymorphs, meV per atom: 2.9
# DOS(E_F), states/eV per cell: 2.886
data_OsRuRh
_chemical_formula_sum 'Os1 Ru1 Rh1'
_space_group_name_H-M_alt 'P 1'
_space_group_IT_number 1
_cell_length_a 2.674
_cell_length_b 3.786
_cell_length_c 4.640
_cell_angle_alpha 114.08
_cell_angle_beta 106.74
_cell_angle_gamma 90.00
loop_
_space_group_symop_operation_xyz
'x,y,z'
loop_
_atom_site_label
_atom_site_fract_x
_atom_site_fract_y
_atom_site_fract_z
_atom_site_occupancy
Ru1 0.337 0.337 0.674 1
Rh1 0.666 0.666 0.333 1
Os1 0.997 0.997 0.994 1



# VFe | Alexandria via LeMat-Bulk | SCAN | single point on PBEsol structure
# Energy of formation from the pure elements, kJ/mol of atoms: -8.9
# SG: No. 65
# DOS(E_F), states/eV per cell: 1.397
data_VFe
_chemical_formula_sum 'V1 Fe1'
_space_group_name_H-M_alt 'P 1'
_space_group_IT_number 1
_cell_length_a 2.479
_cell_length_b 2.479
_cell_length_c 3.918
_cell_angle_alpha 90.00
_cell_angle_beta 90.00
_cell_angle_gamma 107.94
loop_
_space_group_symop_operation_xyz
'x,y,z'
loop_
_atom_site_label
_atom_site_fract_x
_atom_site_fract_y
_atom_site_fract_z
_atom_site_occupancy
Fe1 0.000 0.000 0.000 1
V1 0.500 0.500 0.500 1



# Ba2LiFe | Alexandria via LeMat-Bulk | SCAN | single point on PBEsol structure
# Energy of formation from the pure elements, kJ/mol of atoms: 44.4
# SG: No. 123
# Relative energy among the computed polymorphs, meV per atom: 0.0
# DOS(E_F), states/eV per cell: 3.359
data_Ba2LiFe
_chemical_formula_sum 'Ba2 Li1 Fe1'
_space_group_name_H-M_alt 'P 1'
_space_group_IT_number 1
_cell_length_a 3.921
_cell_length_b 5.685
_cell_length_c 5.686
_cell_angle_alpha 90.00
_cell_angle_beta 90.00
_cell_angle_gamma 90.00
loop_
_space_group_symop_operation_xyz
'x,y,z'
loop_
_atom_site_label
_atom_site_fract_x
_atom_site_fract_y
_atom_site_fract_z
_atom_site_occupancy
Ba1 0.000 0.000 0.000 1
Ba2 0.000 0.500 0.500 1
Fe1 0.500 0.500 0.000 1
Li1 0.500 0.000 0.500 1



# Zn5Cu4 | Alexandria via LeMat-Bulk | SCAN | single point on PBEsol structure
# Energy of formation from the pure elements, kJ/mol of atoms: -6.3
# SG: No. 139
# Relative energy among the computed polymorphs, meV per atom: 0.0
# DOS(E_F), states/eV per cell: 2.186
data_Zn5Cu4
_chemical_formula_sum 'Zn5 Cu4'
_space_group_name_H-M_alt 'P 1'
_space_group_IT_number 1
_cell_length_a 3.762
_cell_length_b 5.779
_cell_length_c 5.779
_cell_angle_alpha 83.92
_cell_angle_beta 71.01
_cell_angle_gamma 71.01
loop_
_space_group_symop_operation_xyz
'x,y,z'
loop_
_atom_site_label
_atom_site_fract_x
_atom_site_fract_y
_atom_site_fract_z
_atom_site_occupancy
Zn1 0.330 0.339 0.000 1
Zn2 0.670 0.000 0.661 1
Zn3 0.330 0.000 0.339 1
Zn4 0.000 0.000 0.000 1
Zn5 0.670 0.661 0.000 1
Cu1 0.000 0.664 0.336 1
Cu2 0.664 0.336 0.336 1
Cu3 0.336 0.664 0.664 1
Cu4 0.000 0.336 0.664 1



# Pt3Au | Alexandria via LeMat-Bulk | SCAN | single point on PBEsol structure
# Energy of formation from the pure elements, kJ/mol of atoms: 7.7
# SG: No. 123
# DOS(E_F), states/eV per cell: 4.432
data_Pt3Au
_chemical_formula_sum 'Pt3 Au1'
_space_group_name_H-M_alt 'P 1'
_space_group_IT_number 1
_cell_length_a 2.792
_cell_length_b 2.792
_cell_length_c 7.929
_cell_angle_alpha 90.00
_cell_angle_beta 90.00
_cell_angle_gamma 90.00
loop_
_space_group_symop_operation_xyz
'x,y,z'
loop_
_atom_site_label
_atom_site_fract_x
_atom_site_fract_y
_atom_site_fract_z
_atom_site_occupancy
Au1 0.000 0.000 0.000 1
Pt1 0.500 0.500 0.258 1
Pt2 0.000 0.000 0.500 1
Pt3 0.500 0.500 0.742 1



# Er7Cu3Te12 | Alexandria via LeMat-Bulk | SCAN | single point on PBEsol structure
# E_tot, eV per atom: -39.606
# SG: No. 8
data_Er7Cu3Te12
_chemical_formula_sum 'Er7 Cu3 Te12'
_space_group_name_H-M_alt 'P 1'
_space_group_IT_number 1
_cell_length_a 7.375
_cell_length_b 7.375
_cell_length_c 13.889
_cell_angle_alpha 95.09
_cell_angle_beta 95.09
_cell_angle_gamma 119.99
loop_
_space_group_symop_operation_xyz
'x,y,z'
loop_
_atom_site_label
_atom_site_fract_x
_atom_site_fract_y
_atom_site_fract_z
_atom_site_occupancy
Te1 0.957 0.293 0.878 1
Te2 0.293 0.957 0.878 1
Te3 0.874 0.541 0.623 1
Te4 0.795 0.129 0.386 1
Te5 0.541 0.874 0.623 1
Te6 0.207 0.207 0.621 1
Te7 0.629 0.629 0.878 1
Te8 0.375 0.710 0.126 1
Te9 0.710 0.375 0.126 1
Te10 0.463 0.463 0.387 1
Te11 0.129 0.795 0.386 1
Te12 0.041 0.041 0.126 1
Er1 0.417 0.085 0.253 1
Er2 0.917 0.917 0.746 1
Er3 0.085 0.417 0.253 1
Er4 0.750 0.750 0.253 1
Er5 0.332 0.332 0.995 1
Er6 0.580 0.249 0.746 1
Er7 0.249 0.580 0.746 1
Cu1 0.479 0.813 0.436 1
Cu2 0.144 0.144 0.434 1
Cu3 0.813 0.479 0.436 1